Below is a relaxed structure of PtAu2Se, with properties calculated at the PBEsol level.

a b c (Å): 5.6730 5.6730 5.6730
angles (deg): 150.47 130.27 58.90
Closest atoms and distances in Å follow each position.
Atoms (fractional coordinates):
Pt  0.0000  0.0000  0.0000  4 Se 2.79, 4 Au 2.82, 2 Pt 2.89
Au  0.2450  0.7450  0.5000  6 Au 2.79-2.89, 2 Pt 2.82, 2 Se 2.90
Au  0.7550  0.2550  0.5000  6 Au 2.79-2.89, 2 Pt 2.82, 2 Se 2.90
Se  0.5000  0.5000  0.0000  4 Pt 2.79, 2 Se 2.89, 4 Au 2.90

* V: 17.037 Å³/atom
* symmetry: Immm (71)
* magnetization: 0.00 μB per cell
* VASP energy: -0.1643 hartree per atom
* formation energy without anion corrections: 194.7 meV/atom